No. 1
EuLuZn, optimized geometry, DFT GGA-PBE; DOS(E_F) = 0.858 states/eV/atom; energy above the lowest structure with this stoichiometry = 0.00 eV/f.u.; crystal system = tetragonal; energy relative to the elements = -0.16 eV/atom; spin magnetization = 7.39 Bohr magnetons per cell
1.0
3.6267 0.0000 0.0000
0.0000 3.6267 0.0000
-1.8134 -1.8134 6.2849
Eu Zn Lu
1 1 1
direct
0.0201 0.0201 0.0403 Eu
0.6810 0.6810 0.3620 Zn
0.2989 0.2989 0.5977 Lu

No. 2
EuLu2Zr, optimized geometry, DFT GGA-PBE; DOS(E_F) = 1.389 states/eV/atom; crystal system = tetragonal; energy relative to the elements = 0.19 eV/atom; spin magnetization = 6.60 Bohr magnetons per cell
1.0
4.7521 0.0000 0.0000
0.0000 4.9052 0.0000
0.0000 0.0000 4.9052
Eu Lu Zr
1 2 1
direct
0.5000 0.5000 0.5000 Eu
0.0000 0.0000 0.5000 Lu
0.0000 0.5000 0.0000 Lu
0.5000 0.0000 0.0000 Zr